# Nb3P PBE-GGA relaxed
data_Nb3P
_chemical_formula_sum 'Nb24 P8'
_cell_length_a 10.181
_cell_length_b 10.181
_cell_length_c 5.115
_cell_angle_alpha 90.00
_cell_angle_beta 90.00
_cell_angle_gamma 90.00
_space_group_name_H-M_alt 'P 1'
_space_group_IT_number 1
loop_
_space_group_symop_operation_xyz
'x,y,z'
loop_
_atom_site_label
_atom_site_type_symbol
_atom_site_fract_x
_atom_site_fract_y
_atom_site_fract_z
Nb1 Nb 0.558 0.037 0.760
Nb2 Nb 0.762 0.895 0.015
Nb3 Nb 0.664 0.153 0.274
Nb4 Nb 0.537 0.442 0.260
Nb5 Nb 0.058 0.537 0.240
P1 P 0.726 0.543 0.520
Nb6 Nb 0.153 0.836 0.226
Nb7 Nb 0.738 0.605 0.015
Nb8 Nb 0.963 0.058 0.260
P2 P 0.226 0.043 0.480
P3 P 0.274 0.457 0.480
P4 P 0.043 0.274 0.020
Nb9 Nb 0.605 0.762 0.485
Nb10 Nb 0.463 0.558 0.740
Nb11 Nb 0.238 0.105 0.985
Nb12 Nb 0.847 0.164 0.774
Nb13 Nb 0.037 0.942 0.740
Nb14 Nb 0.942 0.463 0.760
Nb15 Nb 0.395 0.238 0.515
Nb16 Nb 0.105 0.262 0.515
Nb17 Nb 0.653 0.336 0.774
P5 P 0.457 0.226 0.020
Nb18 Nb 0.895 0.738 0.485
Nb19 Nb 0.836 0.347 0.274
P6 P 0.543 0.774 0.980
Nb20 Nb 0.336 0.847 0.726
Nb21 Nb 0.164 0.653 0.726
Nb22 Nb 0.262 0.395 0.985
Nb23 Nb 0.347 0.664 0.226
P7 P 0.957 0.726 0.980
Nb24 Nb 0.442 0.963 0.240
P8 P 0.774 0.957 0.520
# Space group ... P4_2/n, No. 86
# Magnetization ... 0.000 μB per atom
# DFT total energy ... -306.13 eV for the cell shown
# Volume ... 530 Å³/cell

---

# Nb3P11 PBE-GGA relaxed
data_Nb3P11
_chemical_formula_sum 'Nb3 P11'
_cell_length_a 6.774
_cell_length_b 6.774
_cell_length_c 5.991
_cell_angle_alpha 100.23
_cell_angle_beta 100.23
_cell_angle_gamma 61.58
_space_group_name_H-M_alt 'P 1'
_space_group_IT_number 1
loop_
_space_group_symop_operation_xyz
'x,y,z'
loop_
_atom_site_label
_atom_site_type_symbol
_atom_site_fract_x
_atom_site_fract_y
_atom_site_fract_z
P1 P 0.581 0.028 0.717
P2 P 0.342 0.829 0.138
P3 P 0.829 0.342 0.138
P4 P 0.103 0.103 0.610
P5 P 0.396 0.396 0.853
P6 P 0.818 0.818 0.148
P7 P 0.565 0.102 0.356
P8 P 0.316 0.749 0.478
P9 P 0.102 0.565 0.356
Nb1 Nb 0.227 0.227 0.065
P10 P 0.749 0.316 0.478
P11 P 0.028 0.581 0.717
Nb2 Nb 0.621 0.621 0.840
Nb3 Nb 0.978 0.978 0.904
# Space group ... Cm, No. 8
# Magnetization ... 0.000 μB per atom
# DFT total energy ... -92.13 eV for the cell shown
# Volume ... 237 Å³/cell

---

# Nb2PPb PBE-GGA relaxed
data_Nb2PPb
_chemical_formula_sum 'Nb4 P2 Pb2'
_cell_length_a 3.539
_cell_length_b 3.539
_cell_length_c 16.543
_cell_angle_alpha 90.04
_cell_angle_beta 90.04
_cell_angle_gamma 60.00
_space_group_name_H-M_alt 'P 1'
_space_group_IT_number 1
loop_
_space_group_symop_operation_xyz
'x,y,z'
loop_
_atom_site_label
_atom_site_type_symbol
_atom_site_fract_x
_atom_site_fract_y
_atom_site_fract_z
Nb1 Nb 0.333 0.333 0.422
Nb2 Nb 0.333 0.333 0.078
Pb1 Pb 0.669 0.669 0.750
P1 P 0.000 0.000 0.500
Nb3 Nb 0.667 0.667 0.578
Nb4 Nb 0.667 0.667 0.922
P2 P 0.000 0.000 0.000
Pb2 Pb 0.331 0.331 0.250
# Space group ... C2/m, No. 12
# Magnetization ... 0.001 μB per atom
# DFT total energy ... -59.25 eV for the cell shown
# Volume ... 179 Å³/cell

---

# Rb2Nb2P2S11 PBE-GGA relaxed
data_Rb2Nb2P2S11
_chemical_formula_sum 'Rb4 Nb4 P4 S22'
_cell_length_a 6.885
_cell_length_b 7.110
_cell_length_c 18.615
_cell_angle_alpha 90.00
_cell_angle_beta 98.79
_cell_angle_gamma 90.00
_space_group_name_H-M_alt 'P 1'
_space_group_IT_number 1
loop_
_space_group_symop_operation_xyz
'x,y,z'
loop_
_atom_site_label
_atom_site_type_symbol
_atom_site_fract_x
_atom_site_fract_y
_atom_site_fract_z
Nb1 Nb 0.698 0.451 0.756
S1 S 0.052 0.016 0.334
S2 S 0.052 0.484 0.334
Nb2 Nb 0.302 0.951 0.244
S3 S 0.390 0.250 0.731
Rb1 Rb 0.747 0.250 0.004
S4 S 0.512 0.521 0.858
S5 S 0.101 0.250 0.174
S6 S 0.771 0.750 0.001
Nb3 Nb 0.698 0.049 0.756
P1 P 0.205 0.250 0.375
S7 S 0.945 0.250 0.815
Rb2 Rb 0.253 0.750 0.996
S8 S 0.540 0.750 0.676
S9 S 0.610 0.750 0.269
S10 S 0.512 0.979 0.858
Rb3 Rb 0.774 0.250 0.492
S11 S 0.899 0.750 0.826
S12 S 0.488 0.479 0.142
S13 S 0.948 0.984 0.666
S14 S 0.734 0.750 0.516
P2 P 0.795 0.750 0.625
S15 S 0.229 0.250 0.999
S16 S 0.558 0.250 0.652
P3 P 0.686 0.750 0.894
Nb4 Nb 0.302 0.549 0.244
S17 S 0.055 0.750 0.185
S18 S 0.948 0.516 0.666
S19 S 0.442 0.750 0.348
S20 S 0.266 0.250 0.484
P4 P 0.314 0.250 0.106
S21 S 0.460 0.250 0.324
Rb4 Rb 0.226 0.750 0.508
S22 S 0.488 0.021 0.142
# Space group ... P2_1/m, No. 11
# Magnetization ... 0.000 μB per atom
# DFT total energy ... -183.47 eV for the cell shown
# Volume ... 901 Å³/cell

---

# RbNb2PSe10 PBE-GGA relaxed
data_RbNb2PSe10
_chemical_formula_sum 'Rb2 Nb4 P2 Se20'
_cell_length_a 7.666
_cell_length_b 8.121
_cell_length_c 13.711
_cell_angle_alpha 90.00
_cell_angle_beta 107.02
_cell_angle_gamma 90.00
_space_group_name_H-M_alt 'P 1'
_space_group_IT_number 1
loop_
_space_group_symop_operation_xyz
'x,y,z'
loop_
_atom_site_label
_atom_site_type_symbol
_atom_site_fract_x
_atom_site_fract_y
_atom_site_fract_z
Nb1 Nb 0.260 0.060 0.460
Se1 Se 0.008 0.134 0.549
Se2 Se 0.528 0.120 0.075
Se3 Se 0.596 0.397 0.888
Rb1 Rb 0.815 0.511 0.695
Nb2 Nb 0.267 0.059 0.168
Se4 Se 0.528 0.880 0.575
Rb2 Rb 0.815 0.489 0.195
Se5 Se 0.511 0.853 0.136
Se6 Se 0.203 0.609 0.931
Se7 Se 0.514 0.143 0.358
Se8 Se 0.010 0.860 0.500
Se9 Se 0.265 0.401 0.171
Se10 Se 0.012 0.057 0.273
Se11 Se 0.008 0.866 0.049
Nb3 Nb 0.267 0.941 0.668
Se12 Se 0.012 0.943 0.773
Se13 Se 0.265 0.599 0.671
P1 P 0.401 0.403 0.340
Se14 Se 0.203 0.391 0.431
Se15 Se 0.511 0.147 0.636
Se16 Se 0.010 0.140 0.000
Se17 Se 0.514 0.857 0.858
P2 P 0.401 0.597 0.840
Se18 Se 0.221 0.166 0.807
Se19 Se 0.221 0.834 0.307
Se20 Se 0.596 0.603 0.388
Nb4 Nb 0.260 0.940 0.960
# Space group ... Pc, No. 7
# Magnetization ... 0.000 μB per atom
# DFT total energy ... -139.28 eV for the cell shown
# Volume ... 816 Å³/cell

---

# NbP2S8 PBE-GGA relaxed
data_NbP2S8
_chemical_formula_sum 'Nb4 P8 S32'
_cell_length_a 12.191
_cell_length_b 12.191
_cell_length_c 7.332
_cell_angle_alpha 90.00
_cell_angle_beta 90.00
_cell_angle_gamma 90.00
_space_group_name_H-M_alt 'P 1'
_space_group_IT_number 1
loop_
_space_group_symop_operation_xyz
'x,y,z'
loop_
_atom_site_label
_atom_site_type_symbol
_atom_site_fract_x
_atom_site_fract_y
_atom_site_fract_z
Nb1 Nb 0.916 0.416 0.750
S1 S 0.815 0.286 0.995
S2 S 0.441 0.941 0.004
S3 S 0.559 0.059 0.496
S4 S 0.286 0.185 0.005
S5 S 0.685 0.786 0.495
S6 S 0.214 0.685 0.505
P1 P 0.575 0.673 0.425
S7 S 0.009 0.225 0.706
S8 S 0.645 0.521 0.338
S9 S 0.855 0.021 0.838
S10 S 0.059 0.441 0.996
S11 S 0.145 0.979 0.838
S12 S 0.941 0.559 0.996
Nb2 Nb 0.416 0.084 0.250
S13 S 0.725 0.509 0.794
S14 S 0.521 0.355 0.662
P2 P 0.173 0.075 0.075
S15 S 0.775 0.009 0.294
P3 P 0.075 0.827 0.925
Nb3 Nb 0.584 0.916 0.250
S16 S 0.441 0.941 0.496
S17 S 0.559 0.059 0.004
S18 S 0.059 0.441 0.504
S19 S 0.714 0.815 0.005
P4 P 0.925 0.173 0.925
S20 S 0.941 0.559 0.504
S21 S 0.991 0.775 0.706
S22 S 0.021 0.145 0.162
S23 S 0.315 0.214 0.495
S24 S 0.509 0.275 0.206
S25 S 0.979 0.855 0.162
S26 S 0.275 0.491 0.794
P5 P 0.425 0.327 0.425
S27 S 0.786 0.315 0.505
S28 S 0.491 0.725 0.206
S29 S 0.355 0.479 0.338
P6 P 0.827 0.925 0.075
P7 P 0.673 0.425 0.575
S30 S 0.479 0.645 0.662
Nb4 Nb 0.084 0.584 0.750
P8 P 0.327 0.575 0.575
S31 S 0.185 0.714 0.995
S32 S 0.225 0.991 0.294
# Space group ... P-4n2, No. 118
# Offset from the most stable computed form ... 3 meV/atom
# Magnetization ... 0.000 μB per atom
# Volume ... 1090 Å³/cell

---

# NbP2S8 PBE-GGA relaxed
data_NbP2S8
_chemical_formula_sum 'Nb4 P8 S32'
_cell_length_a 11.722
_cell_length_b 11.722
_cell_length_c 9.809
_cell_angle_alpha 90.00
_cell_angle_beta 90.00
_cell_angle_gamma 59.74
_space_group_name_H-M_alt 'P 1'
_space_group_IT_number 1
loop_
_space_group_symop_operation_xyz
'x,y,z'
loop_
_atom_site_label
_atom_site_type_symbol
_atom_site_fract_x
_atom_site_fract_y
_atom_site_fract_z
S1 S 0.985 0.015 0.289
P1 P 0.125 0.497 0.984
S2 S 0.070 0.366 0.077
S3 S 0.430 0.134 0.577
S4 S 0.258 0.409 0.836
S5 S 0.909 0.758 0.336
S6 S 0.634 0.930 0.077
S7 S 0.591 0.742 0.836
P2 P 0.997 0.625 0.484
S8 S 0.424 0.802 0.115
S9 S 0.358 0.642 0.876
S10 S 0.758 0.909 0.664
S11 S 0.076 0.698 0.615
S12 S 0.802 0.424 0.885
S13 S 0.242 0.091 0.336
S14 S 0.302 0.924 0.615
P3 P 0.003 0.375 0.516
S15 S 0.091 0.242 0.664
S16 S 0.698 0.076 0.385
P4 P 0.375 0.003 0.484
S17 S 0.485 0.515 0.211
S18 S 0.409 0.258 0.164
S19 S 0.198 0.576 0.115
S20 S 0.742 0.591 0.164
Nb1 Nb 0.429 0.429 0.000
S21 S 0.924 0.302 0.385
P5 P 0.497 0.125 0.016
S22 S 0.858 0.142 0.624
Nb2 Nb 0.571 0.571 0.000
S23 S 0.015 0.985 0.711
S24 S 0.930 0.634 0.923
S25 S 0.570 0.866 0.423
P6 P 0.875 0.503 0.016
S26 S 0.576 0.198 0.885
S27 S 0.134 0.430 0.423
P7 P 0.503 0.875 0.984
Nb3 Nb 0.071 0.071 0.500
P8 P 0.625 0.997 0.516
S28 S 0.142 0.858 0.376
S29 S 0.366 0.070 0.923
S30 S 0.515 0.485 0.789
S31 S 0.866 0.570 0.577
Nb4 Nb 0.929 0.929 0.500
S32 S 0.642 0.358 0.124
# Space group ... Cmce, No. 64
# Offset from the most stable computed form ... 0 meV/atom
# Magnetization ... 0.000 μB per atom
# Volume ... 1164 Å³/cell

---

# NbSb3P PBE-GGA relaxed
data_NbSb3P
_chemical_formula_sum 'Nb1 Sb3 P1'
_cell_length_a 5.084
_cell_length_b 5.084
_cell_length_c 5.084
_cell_angle_alpha 90.00
_cell_angle_beta 90.00
_cell_angle_gamma 90.00
_space_group_name_H-M_alt 'P 1'
_space_group_IT_number 1
loop_
_space_group_symop_operation_xyz
'x,y,z'
loop_
_atom_site_label
_atom_site_type_symbol
_atom_site_fract_x
_atom_site_fract_y
_atom_site_fract_z
Sb1 Sb 0.500 0.500 0.000
Sb2 Sb 0.500 0.000 0.500
Nb1 Nb 0.000 0.000 0.000
Sb3 Sb 0.000 0.500 0.500
P1 P 0.500 0.500 0.500
# Space group ... Pm-3m, No. 221
# Magnetization ... 0.471 μB per atom
# DFT total energy ... -23.23 eV for the cell shown
# Volume ... 131 Å³/cell